No. 1
A relaxed structure of HfIr, computed with PBEsol.

Calculated values
The formation energy is -0.8970 eV/atom. As for the density of states at the Fermi level: 1.53 states/eV/cell. As for the crystal system: tetragonal.

Cell lengths 3.057, 3.057, 3.604 Å; angles 90.00, 90.00, 90.00 degrees
Space group P4/mmm (No. 123)
One atom of each set of equivalent atoms:
Hf: 0.000 0.000 0.000 x1
Ir: 0.500 0.500 0.500 x1

No. 2
A relaxed structure of Hf5Ir3, computed with PBEsol.

Calculated values
The formation energy is -0.8096 eV/atom. As for the density of states at the Fermi level: 36.10 states/eV/cell. Its distance to the lowest polymorph of the same formula is 0.000 eV per atom. As for the crystal system: hexagonal.

Cell lengths 7.8115, 7.8115, 16.7562 Å; angles 90.00, 90.00, 120.00 degrees
Space group P6_122 (No. 178)
One atom of each set of equivalent atoms:
Hf: 0.0000 0.2483 0.3333 x6
Hf: 0.0101 0.2371 0.9929 x12
Hf: 0.2419 0.6209 0.5833 x6
Hf: 0.3125 0.6562 0.0833 x6
Ir: 0.0000 0.3809 0.8333 x6
Ir: 0.0268 0.4188 0.1906 x12

No. 3
A relaxed structure of KHf3Ir, computed with PBEsol.

Calculated values
The formation energy is 2.1340 eV/atom. As for the density of states at the Fermi level: 5.36 states/eV/cell. As for the crystal system: cubic.

Cell lengths 4.601, 4.601, 4.601 Å; angles 90.00, 90.00, 90.00 degrees
Space group Pm-3m (No. 221)
One atom of each set of equivalent atoms:
K: 0.000 0.000 0.000 x1
Hf: 0.000 0.000 0.500 x3
Ir: 0.500 0.500 0.500 x1

No. 4
A relaxed structure of K2HfIrRu, computed with PBEsol.

Calculated values
The formation energy is 2.1625 eV/atom. As for the density of states at the Fermi level: 11.84 states/eV/cell. As for the crystal system: tetragonal.

Cell lengths 6.324, 6.324, 4.471 Å; angles 90.00, 90.00, 90.00 degrees
Space group P4/mmm (No. 123)
One atom of each set of equivalent atoms:
K: 0.000 0.500 0.000 x2
Hf: 0.000 0.000 0.000 x1
Ir: 0.500 0.500 0.500 x1
Ru: 0.000 0.000 0.500 x1